Here is TlIrC2O8 after structural relaxation from the Alexandria database. Energies are from PBE.

Output
DOS at the Fermi energy ... 4.30 states/eV per cell
Uncorrected energy ... -6.53 eV per atom
E_form (uncorrected) ... -0.756 eV/atom

POSCAR file:
```
TlIrC2O8
1.0
3.838 -2.464 0.000
3.838 2.464 0.000
-0.449 0.000 6.857
Tl Ir C O
1 1 2 8
Direct
0.000 0.000 0.000
0.000 0.000 0.500
0.354 0.354 0.724
0.646 0.646 0.276
0.235 0.708 0.715
0.252 0.252 0.551
0.289 0.289 0.896
0.292 0.765 0.285
0.708 0.235 0.715
0.711 0.711 0.104
0.748 0.748 0.449
0.765 0.292 0.285
```